Record 1
VASP calculation (PBE-GGA) on an optimized crystal structure of Li3CuPt.

```
Li3CuPt
1.0
1.3178 -7.2135 0.0000
1.3178 7.2135 0.0000
0.0000 0.0000 8.4170
Li Cu Pt
6 2 2
direct
0.0786 0.9214 0.7500
0.3382 0.6618 0.5498
0.3382 0.6618 0.9502
0.6618 0.3382 0.0498
0.6618 0.3382 0.4502
0.9214 0.0786 0.2500
0.0000 0.0000 0.0000
0.0000 0.0000 0.5000
0.2693 0.7307 0.2500
0.7307 0.2693 0.7500
```

Values from the calculation:
Symmetry: Cmcm, No. 63
ρ in g/cm3: 5.8
ΔE_f in eV/atom: -0.153
Energy relative to the lowest polymorph listed for this composition in eV/atom: 0.145
Crystal system: orthorhombic

Record 2
VASP calculation (PBE-GGA) on an optimized crystal structure of HoTmLuAl.

```
HoTmLuAl
1.0
7.4559 0.0000 0.0000
0.0000 7.4559 0.0000
0.0000 0.0000 7.4559
Ho Tm Lu Al
4 4 4 4
direct
0.0000 0.0000 0.0000
0.0000 0.5000 0.5000
0.5000 0.0000 0.5000
0.5000 0.5000 0.0000
0.0000 0.0000 0.5000
0.0000 0.5000 0.0000
0.5000 0.0000 0.0000
0.5000 0.5000 0.5000
0.2500 0.2500 0.2500
0.2500 0.7500 0.7500
0.7500 0.2500 0.7500
0.7500 0.7500 0.2500
0.2500 0.2500 0.7500
0.2500 0.7500 0.2500
0.7500 0.2500 0.2500
0.7500 0.7500 0.7500
```

Values from the calculation:
Symmetry: F-43m, No. 216
ρ in g/cm3: 8.6
ΔE_f in eV/atom: -0.075
Crystal system: cubic

Record 3
VASP calculation (PBE-GGA) on an optimized crystal structure of KInIr2.

```
KInIr2
1.0
2.8392 0.0000 0.0000
0.0000 4.0524 0.0000
0.0000 0.0000 8.1062
K In Ir
1 1 2
direct
0.0000 0.0000 0.0000
0.5000 0.5000 0.3472
0.0000 0.0000 0.5901
0.5000 0.5000 0.6864
```

Values from the calculation:
Symmetry: Pmm2, No. 25
ρ in g/cm3: 9.6
ΔE_f in eV/atom: 0.238
Crystal system: orthorhombic

Record 4
VASP calculation (PBE-GGA) on an optimized crystal structure of SrLiBi2.

```
SrLiBi2
1.0
4.6705 0.0000 0.0000
0.0000 4.6705 0.0000
0.0000 0.0000 11.1669
Sr Li Bi
2 2 4
direct
0.2500 0.2500 0.2439
0.7500 0.7500 0.7561
0.2500 0.7500 0.0000
0.7500 0.2500 0.0000
0.2500 0.2500 0.8538
0.2500 0.7500 0.5000
0.7500 0.2500 0.5000
0.7500 0.7500 0.1462
```

Values from the calculation:
Symmetry: P4/nmm, No. 129
ρ in g/cm3: 7.0
ΔE_f in eV/atom: -0.553
Energy relative to the lowest polymorph listed for this composition in eV/atom: 0.004
Crystal system: tetragonal

Record 5
VASP calculation (PBE-GGA) on an optimized crystal structure of Ac2PmNd.

```
Ac2PmNd
1.0
8.5996 0.0000 0.0000
0.0000 8.5996 0.0000
0.0000 0.0000 8.5996
Ac Pm Nd
8 4 4
direct
0.2500 0.2500 0.2500
0.2500 0.2500 0.7500
0.2500 0.7500 0.2500
0.2500 0.7500 0.7500
0.7500 0.2500 0.2500
0.7500 0.2500 0.7500
0.7500 0.7500 0.2500
0.7500 0.7500 0.7500
0.0000 0.0000 0.0000
0.0000 0.5000 0.5000
0.5000 0.0000 0.5000
0.5000 0.5000 0.0000
0.0000 0.0000 0.5000
0.0000 0.5000 0.0000
0.5000 0.0000 0.0000
0.5000 0.5000 0.5000
```

Values from the calculation:
Symmetry: Fm-3m, No. 225
ρ in g/cm3: 7.8
ΔE_f in eV/atom: 0.111
Energy relative to the lowest polymorph listed for this composition in eV/atom: 0.085
Crystal system: cubic

Record 6
VASP calculation (PBE-GGA) on an optimized crystal structure of Mg4Co3.

```
Mg4Co3
1.0
3.0183 0.0000 0.0000
0.0000 3.0183 0.0000
0.0000 0.0000 24.5157
Mg Co
8 6
direct
0.0000 0.0000 0.0609
0.0000 0.0000 0.3415
0.0000 0.0000 0.6585
0.0000 0.0000 0.9391
0.5000 0.5000 0.1585
0.5000 0.5000 0.4391
0.5000 0.5000 0.5609
0.5000 0.5000 0.8415
0.0000 0.0000 0.2272
0.0000 0.0000 0.5000
0.0000 0.0000 0.7728
0.5000 0.5000 0.0000
0.5000 0.5000 0.2728
0.5000 0.5000 0.7272
```

Values from the calculation:
Symmetry: I4/mmm, No. 139
ρ in g/cm3: 4.1
ΔE_f in eV/atom: 0.085
Energy relative to the lowest polymorph listed for this composition in eV/atom: 0.000
Crystal system: tetragonal